Computed, not measured: crystalline NbTeWN2 at its relaxed geometry at the PBE-GGA level of DFT.

Cell: 4.0466 4.0466 5.8893 Å, 90.00 90.00 90.00°
Closest atoms and distances in Å follow each position.
Fractional positions:
Nb (0.0000, 0.0000, 0.0000)  4 N 2.02
Te (0.0000, 0.0000, 0.5000)  4 W 2.86, 2 Nb 2.94
W (0.5000, 0.5000, 0.5000)  4 Te 2.86
N (0.0000, 0.5000, 0.0000)  2 Nb 2.02
N (0.5000, 0.0000, 0.0000)  2 Nb 2.02

Values from the calculation:
Formation energy (no corrections): 1141 meV per atom
Space-group type: P4/mmm (123)
Density of states at the Fermi level: 3.2 states/eV/cell
Relative energy among the computed polymorphs: 0.3987 eV per atom

---

Computed, not measured: crystalline TcPBr2 at its relaxed geometry at the PBE-GGA level of DFT.

Cell: 12.8369 12.8369 12.8369 Å, 13.20 13.20 13.20°
Closest atoms and distances in Å follow each position.
Fractional positions:
Tc (0.0000, 0.0000, 0.0000)  2 Br 2.39
P (0.5000, 0.5000, 0.5000)  6 P 2.95
Br (0.0627, 0.0627, 0.0627)  1 Tc 2.39
Br (0.9373, 0.9373, 0.9373)  1 Tc 2.39

Values from the calculation:
Formation energy (no corrections): 822 meV per atom
Space-group type: R-3m (166)
Density of states at the Fermi level: 4.1 states/eV/cell
Relative energy among the computed polymorphs: 0.9967 eV per atom

---

Computed, not measured: crystalline Sr2PrHoSe4 at its relaxed geometry at the PBE-GGA level of DFT.

Cell: 7.3768 4.2514 7.5257 Å, 90.00 108.99 90.00°
Closest atoms and distances in Å follow each position.
Fractional positions:
Sr (0.0000, 0.0000, 0.0000)  6 Se 3.13-3.14
Sr (0.5000, 0.5000, 0.0000)  6 Se 3.05-3.06
Pr (0.0000, 0.5000, 0.5000)  6 Se 3.02
Ho (0.5000, 0.0000, 0.5000)  6 Se 2.93-2.94
Se (0.2557, 0.0000, 0.7390)  1 Ho 2.93, 2 Pr 3.02, 3 Sr 3.05-3.14
Se (0.2644, 0.5000, 0.2673)  2 Ho 2.94, 1 Pr 3.02, 3 Sr 3.06-3.13
Se (0.7356, 0.5000, 0.7327)  2 Ho 2.94, 1 Pr 3.02, 3 Sr 3.06-3.13
Se (0.7443, 0.0000, 0.2610)  1 Ho 2.93, 2 Pr 3.02, 3 Sr 3.05-3.14

Values from the calculation:
Formation energy (no corrections): -1890 meV per atom
Space-group type: P2/m (10)
Density of states at the Fermi level: 3.5 states/eV/cell